[1]
## AlTeCl2 (PBE)

Data for an optimized crystal structure of AlTeCl2.

Cell lengths 3.158, 3.158, 11.497 Å; angles 90.00, 90.00, 90.00 degrees
Sites, in units of the cell vectors:
Al  0.000  0.000  0.000
Te  0.000  0.000  0.500
Cl  0.500  0.500  0.133
Cl  0.500  0.500  0.867

Results
DOS(E_F), states/eV per atom: 0.7524
M_tot, μB/f.u.: 0.0
SG: P4/mmm (123)
Energy above the lowest structure with this stoichiometry, meV/atom: 575


[2]
## AlTe4Cl (PBE)

Data for an optimized crystal structure of AlTe4Cl.

Cell lengths 6.338, 6.338, 6.338 Å; angles 60.00, 60.00, 60.00 degrees
Sites, in units of the cell vectors:
Al  0.000  0.000  0.000
Te  0.375  0.375  0.375
Te  0.375  0.375  0.875
Te  0.375  0.875  0.375
Te  0.875  0.375  0.375
Cl  0.750  0.750  0.750

Results
DOS(E_F), states/eV per atom: 1.5062
E_tot, eV/atom: -2.770
M_tot, μB/f.u.: 0.0
SG: F-43m (216)


[3]
## AlTeCl2 (PBE)

Data for an optimized crystal structure of AlTeCl2.

Cell lengths 4.627, 3.392, 5.924 Å; angles 90.00, 90.10, 90.00 degrees
Sites, in units of the cell vectors:
Al  0.000  0.000  0.000
Te  0.000  0.500  0.500
Cl  0.500  0.000  0.500
Cl  0.500  0.500  0.000

Results
DOS(E_F), states/eV per atom: 0.5717
M_tot, μB/f.u.: 0.0
SG: P2/m (10)
Energy above the lowest structure with this stoichiometry, meV/atom: 782


[4]
## AlTeCl2 (PBE)

Data for an optimized crystal structure of AlTeCl2.

Cell lengths 7.403, 7.403, 7.403 Å; angles 90.00, 90.00, 90.00 degrees
Sites, in units of the cell vectors:
Al  0.000  0.000  0.000
Al  0.000  0.500  0.500
Al  0.500  0.000  0.500
Al  0.500  0.500  0.000
Te  0.000  0.000  0.500
Te  0.000  0.500  0.000
Te  0.500  0.000  0.000
Te  0.500  0.500  0.500
Cl  0.250  0.250  0.250
Cl  0.250  0.250  0.750
Cl  0.250  0.750  0.250
Cl  0.250  0.750  0.750
Cl  0.750  0.250  0.250
Cl  0.750  0.250  0.750
Cl  0.750  0.750  0.250
Cl  0.750  0.750  0.750

Results
DOS(E_F), states/eV per atom: 1.2503
M_tot, μB/f.u.: 2.4
SG: Fm-3m (225)
Energy above the lowest structure with this stoichiometry, meV/atom: 1114


[5]
## AlTeCl2 (PBE)

Data for an optimized crystal structure of AlTeCl2.

Cell lengths 13.057, 3.144, 6.217 Å; angles 90.00, 118.07, 90.00 degrees
Sites, in units of the cell vectors:
Al  0.000  0.000  0.000
Al  0.500  0.500  0.000
Te  0.000  0.500  0.500
Te  0.500  0.000  0.500
Cl  0.146  0.500  0.144
Cl  0.354  0.000  0.856
Cl  0.646  0.000  0.144
Cl  0.854  0.500  0.856

Results
DOS(E_F), states/eV per atom: 0.6210
M_tot, μB/f.u.: 0.0
SG: C2/m (12)
Energy above the lowest structure with this stoichiometry, meV/atom: 310


[6]
## AlTeCl2 (PBE)

Data for an optimized crystal structure of AlTeCl2.

Cell lengths 4.463, 4.463, 5.305 Å; angles 90.00, 90.00, 90.00 degrees
Sites, in units of the cell vectors:
Al  0.000  0.000  0.000
Te  0.500  0.500  0.963
Cl  0.000  0.000  0.403
Cl  0.500  0.500  0.483

Results
DOS(E_F), states/eV per atom: 0.1378
M_tot, μB/f.u.: 0.0
SG: P4mm (99)
Energy above the lowest structure with this stoichiometry, meV/atom: 540